# 1
## KMgMoO4 (PBE+U)

Data for KMgMoO4 after structural relaxation.

```
7
Lattice="-2.852 2.852 4.421 2.852 -2.852 4.421 2.852 2.852 -4.421" Properties=species:S:1:pos:R:3 pbc="T T T"
K 0.000 0.000 0.000
Mg 0.000 0.000 4.421
Mo 2.852 0.000 2.210
O 1.528 -0.656 3.351
O 2.196 1.324 1.070
O 1.324 3.508 -1.070
O 0.656 1.528 5.491
```

Properties
E_tot, eV per atom: -6.165
Total magnetization, Bohr magnetons per cell: 1.0
D(E_F), states/eV/cell: 0.0

---

# 2
## K4MgMo3O12 (PBE+U)

Data for K4MgMo3O12 after structural relaxation.

```
40
Lattice="8.018 0.000 0.000 -2.969 9.695 0.000 -2.881 -1.493 9.625" Properties=species:S:1:pos:R:3 pbc="T T T"
K 0.000 0.000 0.000
K -3.070 4.174 8.515
K -0.943 4.434 4.575
K -0.696 1.169 7.461
K 4.009 0.000 0.000
K 2.864 7.033 2.164
K 3.111 3.768 5.050
K 5.238 4.028 1.110
Mg 1.012 0.521 4.302
Mg 1.156 7.681 5.323
Mo -3.392 7.316 5.910
Mo -0.997 7.499 2.458
Mo 1.423 3.181 1.794
Mo 0.745 5.021 7.832
Mo 3.165 0.703 7.167
Mo 5.560 0.886 3.715
O -2.365 6.357 2.494
O -2.953 5.589 6.060
O -0.949 0.786 4.724
O -3.697 7.993 7.537
O -0.076 4.032 1.320
O -1.591 9.213 2.596
O -2.037 8.240 5.143
O -0.228 7.451 0.854
O 1.873 2.010 0.509
O 1.160 2.380 3.413
O -0.556 3.811 7.604
O 0.279 6.983 3.652
O 1.889 1.219 5.973
O 2.724 4.391 2.021
O 1.008 5.822 6.212
O 0.295 6.192 9.116
O 2.396 0.751 8.771
O 4.205 -0.038 4.482
O 3.759 -1.011 7.030
O 2.244 4.170 8.305
O 5.865 0.209 2.089
O 3.117 7.416 4.902
O 5.121 2.613 3.565
O 4.533 1.845 7.131
```

Properties
E_tot, eV per atom: -6.294
Total magnetization, Bohr magnetons per cell: 0.3
D(E_F), states/eV/cell: 0.0